## LiVF5 (PBE with a Hubbard U)

Data for a relaxed LiVF5 crystal.

As for the energy above the lowest structure with this stoichiometry: 78.7 meV/atom.

Unit cell a=6.142 b=6.407 c=8.926 alpha=90.00 beta=90.00 gamma=90.00
Site moments in Bohr magnetons follow the coordinates.
Positions (direct):
Li  0.502  0.757  0.134  0.00
Li  0.002  0.257  0.366  0.00
Li  0.998  0.757  0.634  0.00
Li  0.498  0.257  0.866  0.00
V  0.077  0.006  0.000  1.01
V  0.577  0.506  0.500  1.01
V  0.423  0.006  0.500  1.01
V  0.923  0.506  0.000  1.01
F  0.377  0.006  0.000  -0.03
F  0.823  0.197  0.974  -0.01
F  0.823  0.815  0.027  -0.01
F  0.957  0.463  0.204  0.01
F  0.043  0.050  0.204  0.01
F  0.543  0.550  0.296  0.01
F  0.457  0.963  0.296  0.01
F  0.323  0.315  0.473  -0.01
F  0.323  0.697  0.526  -0.01
F  0.877  0.506  0.500  -0.03
F  0.123  0.006  0.500  -0.03
F  0.677  0.197  0.474  -0.01
F  0.677  0.815  0.527  -0.01
F  0.543  0.463  0.704  0.01
F  0.457  0.050  0.704  0.01
F  0.957  0.550  0.796  0.01
F  0.043  0.963  0.796  0.01
F  0.177  0.315  0.973  -0.01
F  0.177  0.697  0.026  -0.01
F  0.623  0.506  0.000  -0.03

***

## LiV2F7 (PBE with a Hubbard U)

Data for a relaxed LiV2F7 crystal.

As for the energy above the lowest structure with this stoichiometry: 63.7 meV/atom.

Unit cell a=5.464 b=6.850 c=8.628 alpha=108.13 beta=105.63 gamma=83.96
Site moments in Bohr magnetons follow the coordinates.
Positions (direct):
Li  0.130  0.021  0.749  0.00
Li  0.870  0.979  0.251  0.00
V  0.720  0.711  0.813  1.91
V  0.198  0.479  0.673  1.91
V  0.802  0.521  0.327  1.91
V  0.280  0.289  0.187  1.91
F  0.306  0.182  0.965  0.00
F  0.087  0.605  0.877  0.00
F  0.568  0.440  0.763  0.00
F  0.114  0.204  0.621  0.00
F  0.335  0.761  0.711  0.00
F  0.825  0.939  0.773  -0.01
F  0.811  0.551  0.572  0.00
F  0.189  0.449  0.428  0.00
F  0.175  0.061  0.227  -0.01
F  0.665  0.239  0.289  0.00
F  0.886  0.796  0.379  0.00
F  0.432  0.560  0.237  0.00
F  0.913  0.395  0.123  0.00
F  0.694  0.818  0.035  0.00

***

## Li2VF4 (PBE with a Hubbard U)

Data for a relaxed Li2VF4 crystal.

As for the energy above the lowest structure with this stoichiometry: 15.2 meV/atom.

Unit cell a=6.078 b=6.078 c=6.078 alpha=121.16 beta=118.26 gamma=90.52
Site moments in Bohr magnetons follow the coordinates.
Positions (direct):
Li  0.884  0.134  0.750  0.00
Li  0.500  0.000  0.000  0.00
Li  0.116  0.866  0.250  0.00
Li  0.500  0.500  0.500  0.00
V  0.000  0.500  0.500  2.76
V  0.500  0.500  0.000  2.76
F  0.254  0.264  0.510  0.01
F  0.262  0.745  0.517  0.01
F  0.727  0.745  0.983  0.01
F  0.254  0.745  0.990  0.01
F  0.746  0.255  0.010  0.01
F  0.273  0.255  0.017  0.01
F  0.738  0.255  0.483  0.01
F  0.746  0.736  0.490  0.01

***

## LiV3F10 (PBE with a Hubbard U)

Data for a relaxed LiV3F10 crystal.

As for the energy above the lowest structure with this stoichiometry: 11.3 meV/atom.

Unit cell a=6.470 b=7.430 c=7.680 alpha=90.00 beta=90.00 gamma=90.00
Site moments in Bohr magnetons follow the coordinates.
Positions (direct):
Li  0.344  0.000  0.250  0.00
Li  0.656  0.000  0.750  0.00
V  0.500  0.500  0.500  1.91
V  0.500  0.500  0.000  1.91
V  0.000  0.233  0.500  1.92
V  0.000  0.233  0.000  1.92
V  0.000  0.767  0.500  1.92
V  0.000  0.767  0.000  1.92
F  0.422  0.500  0.750  -0.01
F  0.578  0.500  0.250  -0.01
F  0.000  0.500  0.000  0.00
F  0.303  0.301  0.052  -0.01
F  0.697  0.301  0.948  -0.01
F  0.303  0.301  0.448  -0.01
F  0.697  0.301  0.552  -0.01
F  0.917  0.228  0.250  0.02
F  0.083  0.228  0.750  0.02
F  0.162  0.000  0.437  -0.01
F  0.838  0.000  0.563  -0.01
F  0.162  0.000  0.063  -0.01
F  0.838  0.000  0.937  -0.01
F  0.083  0.772  0.750  0.02
F  0.917  0.772  0.250  0.02
F  0.303  0.699  0.052  -0.01
F  0.697  0.699  0.948  -0.01
F  0.303  0.699  0.448  -0.01
F  0.697  0.699  0.552  -0.01
F  0.000  0.500  0.500  0.00